No. 1
VASP calculation (PBE) on an optimized crystal structure of PrBiW.

Summary:
E above lowest polymorph = 0.439 eV/atom
Crystal system = cubic
VASP energy = -5.893 eV per atom
Space group = F-43m (216)

POSCAR file:
```
PrBiW
1.0
0.0000 3.6468 3.6468
3.6468 0.0000 3.6468
3.6468 3.6468 0.0000
Bi Pr W
1 1 1
Direct
0.2500 0.2500 0.2500 Bi
0.0000 0.0000 0.0000 Pr
0.7500 0.7500 0.7500 W
```

No. 2
VASP calculation (PBE) on an optimized crystal structure of PrBiW.

Summary:
E above lowest polymorph = 0.000 eV/atom
Crystal system = cubic
VASP energy = -6.333 eV per atom
Space group = F-43m (216)

POSCAR file:
```
PrBiW
1.0
0.0000 3.4987 3.4987
3.4987 0.0000 3.4987
3.4987 3.4987 0.0000
Bi Pr W
1 1 1
Direct
0.0000 0.0000 0.0000 Bi
0.2500 0.2500 0.2500 Pr
0.7500 0.7500 0.7500 W
```

No. 3
VASP calculation (PBE) on an optimized crystal structure of PrZrBi.

Summary:
Crystal system = cubic
VASP energy = -5.860 eV per atom
Space group = F-43m (216)

POSCAR file:
```
PrZrBi
1.0
-4.0143 -3.0984 0.8036
-4.4960 0.9806 -2.2770
-1.6860 -3.0479 -3.7720
Bi Pr Zr
1 1 1
Direct
0.0000 0.0000 0.0000 Bi
0.2500 0.2500 0.2500 Pr
0.7500 0.7500 0.7500 Zr
```

No. 4
VASP calculation (PBE) on an optimized crystal structure of PrZrBi.

Summary:
Crystal system = cubic
VASP energy = -5.267 eV per atom
Space group = F-43m (216)

POSCAR file:
```
PrZrBi
1.0
-4.4677 -0.0185 2.8815
-2.4844 4.5740 1.0816
-4.6583 1.1059 -2.3111
Bi Pr Zr
1 1 1
Direct
0.2500 0.2500 0.2500 Bi
0.0000 0.0000 0.0000 Pr
0.7500 0.7500 0.7500 Zr
```

No. 5
VASP calculation (PBE) on an optimized crystal structure of BiPt13.

Summary:
Crystal system = monoclinic
VASP energy = -5.784 eV per atom
Space group = Cm (8)

POSCAR file:
```
BiPt13
1.0
-3.0709 0.5362 3.6293
-4.7663 -0.3737 0.1804
2.2807 -26.1924 5.7889
Bi Pt
1 13
Direct
0.9050 0.9050 0.2760 Bi
0.5989 0.5989 0.3167 Pt
0.2970 0.2970 0.3483 Pt
0.0000 0.0000 0.3846 Pt
0.6996 0.6996 0.4181 Pt
0.3979 0.3979 0.4510 Pt
0.0981 0.0981 0.4850 Pt
0.8003 0.8003 0.5182 Pt
0.5014 0.5014 0.5514 Pt
0.1972 0.1972 0.5852 Pt
0.8981 0.8981 0.6151 Pt
0.6090 0.6090 0.6540 Pt
0.3017 0.3017 0.6867 Pt
0.9957 0.9957 0.7098 Pt
```

No. 6
VASP calculation (PBE) on an optimized crystal structure of BiPt5.

Summary:
Crystal system = tetragonal
VASP energy = -5.635 eV per atom
Space group = P4/nmm (129)

POSCAR file:
```
BiPt5
1.0
-1.9163 0.2339 -2.3298
1.6461 -2.0066 -1.5553
-18.2313 -24.6596 12.5190
Bi Pt
2 10
Direct
0.0000 0.5000 0.1996 Bi
0.5000 0.0000 0.8004 Bi
0.5000 0.0000 0.2598 Pt
0.0000 0.5000 0.3155 Pt
0.5000 0.0000 0.3681 Pt
0.0000 0.5000 0.4206 Pt
0.5000 0.0000 0.4735 Pt
0.0000 0.5000 0.5265 Pt
0.5000 0.0000 0.5794 Pt
0.0000 0.5000 0.6319 Pt
0.5000 0.0000 0.6845 Pt
0.0000 0.5000 0.7402 Pt
```

No. 7
VASP calculation (PBE) on an optimized crystal structure of BiPt10.

Summary:
E above lowest polymorph = 0.058 eV/atom
Crystal system = monoclinic
VASP energy = -5.834 eV per atom
Space group = P2_1/m (11)

POSCAR file:
```
BiPt10
1.0
-3.7176 2.4458 -0.7832
-0.0929 -1.1027 -3.0024
-19.6080 -28.2122 10.9684
Bi Pt
2 20
Direct
0.7038 0.2500 0.1796 Bi
0.2962 0.7500 0.8204 Bi
0.2080 0.7500 0.2008 Pt
0.7061 0.7500 0.2523 Pt
0.2057 0.2500 0.2610 Pt
0.6030 0.2500 0.3183 Pt
0.0950 0.7500 0.3189 Pt
0.9814 0.2500 0.3789 Pt
0.4827 0.7500 0.3792 Pt
0.3649 0.2500 0.4395 Pt
0.8648 0.7500 0.4396 Pt
0.2498 0.7500 0.4997 Pt
0.7502 0.2500 0.5003 Pt
0.1352 0.2500 0.5604 Pt
0.6351 0.7500 0.5605 Pt
0.5173 0.2500 0.6208 Pt
0.0186 0.7500 0.6211 Pt
0.9050 0.2500 0.6811 Pt
0.3970 0.7500 0.6817 Pt
0.7943 0.7500 0.7390 Pt
0.2939 0.2500 0.7477 Pt
0.7920 0.2500 0.7992 Pt
```

No. 8
VASP calculation (PBE) on an optimized crystal structure of Bi2Pt7.

Summary:
E above lowest polymorph = 0.256 eV/atom
Crystal system = trigonal
VASP energy = -5.381 eV per atom
Space group = P-3m1 (164)

POSCAR file:
```
Bi2Pt7
1.0
-2.0767 1.8940 1.1766
-0.8563 -2.1772 -1.9520
-4.3279 -19.2917 23.4162
Bi Pt
2 7
Direct
0.6667 0.3333 0.2821 Bi
0.3333 0.6667 0.7179 Bi
0.0000 0.0000 0.0000 Pt
0.6667 0.3333 0.0680 Pt
0.3333 0.6667 0.1367 Pt
0.0000 0.0000 0.2072 Pt
0.0000 0.0000 0.7928 Pt
0.6667 0.3333 0.8633 Pt
0.3333 0.6667 0.9320 Pt
```

No. 9
VASP calculation (PBE) on an optimized crystal structure of Bi2Pt7.

Summary:
E above lowest polymorph = 0.000 eV/atom
Crystal system = hexagonal
VASP energy = -5.637 eV per atom
Space group = P6_3/mmc (194)

POSCAR file:
```
Bi2Pt7
1.0
5.4059 0.0000 0.0000
-2.7029 4.6816 0.0000
0.0000 0.0000 26.9912
Bi Pt
8 28
Direct
0.6667 0.3333 0.0342 Bi
0.6667 0.3333 0.1767 Bi
0.6667 0.3333 0.3233 Bi
0.6667 0.3333 0.4658 Bi
0.0000 0.0000 0.5342 Bi
0.0000 0.0000 0.6767 Bi
0.0000 0.0000 0.8233 Bi
0.0000 0.0000 0.9658 Bi
0.3333 0.6667 0.0000 Pt
0.1653 0.3306 0.0822 Pt
0.1653 0.8347 0.0822 Pt
0.6694 0.8347 0.0822 Pt
0.0000 0.0000 0.1666 Pt
0.3333 0.6667 0.1667 Pt
0.1668 0.3335 0.2500 Pt
0.1668 0.8332 0.2500 Pt
0.6665 0.8332 0.2500 Pt
0.3333 0.6667 0.3333 Pt
0.0000 0.0000 0.3335 Pt
0.1653 0.3306 0.4178 Pt
0.1653 0.8347 0.4178 Pt
0.6694 0.8347 0.4178 Pt
0.3333 0.6667 0.5000 Pt
0.5014 0.0027 0.5822 Pt
0.5014 0.4986 0.5822 Pt
0.9973 0.4986 0.5822 Pt
0.6667 0.3333 0.6666 Pt
0.3333 0.6667 0.6667 Pt
0.0002 0.5001 0.7500 Pt
0.4999 0.5001 0.7500 Pt
0.4999 0.9998 0.7500 Pt
0.3333 0.6667 0.8333 Pt
0.6667 0.3333 0.8334 Pt
0.5013 0.0027 0.9178 Pt
0.9973 0.4987 0.9178 Pt
0.5013 0.4987 0.9178 Pt
```

No. 10
VASP calculation (PBE) on an optimized crystal structure of BiPt10.

Summary:
E above lowest polymorph = 0.230 eV/atom
Crystal system = trigonal
VASP energy = -5.662 eV per atom
Space group = P3m1 (156)

POSCAR file:
```
BiPt10
1.0
2.8987 0.0000 0.0000
-1.4494 2.5104 0.0000
0.0000 0.0000 36.9111
Bi Pt
1 10
Direct
0.3333 0.6667 0.1945 Bi
0.0000 0.0000 0.2597 Pt
0.6667 0.3333 0.3214 Pt
0.3333 0.6667 0.3814 Pt
0.0000 0.0000 0.4409 Pt
0.6667 0.3333 0.5006 Pt
0.3333 0.6667 0.5605 Pt
0.0000 0.0000 0.6205 Pt
0.6667 0.3333 0.6803 Pt
0.3333 0.6667 0.7398 Pt
0.0000 0.0000 0.8003 Pt
```

No. 11
VASP calculation (PBE) on an optimized crystal structure of Bi2Pt7.

Summary:
E above lowest polymorph = 0.254 eV/atom
Crystal system = trigonal
VASP energy = -5.383 eV per atom
Space group = P-3m1 (164)

POSCAR file:
```
Bi2Pt7
1.0
3.0750 0.0000 0.0000
-1.5375 2.6630 0.0000
0.0000 0.0000 30.9184
Bi Pt
2 7
Direct
0.3333 0.6667 0.2234 Bi
0.6667 0.3333 0.7766 Bi
0.0000 0.0000 0.2970 Pt
0.6667 0.3333 0.3662 Pt
0.3333 0.6667 0.4335 Pt
0.0000 0.0000 0.5000 Pt
0.6667 0.3333 0.5665 Pt
0.3333 0.6667 0.6338 Pt
0.0000 0.0000 0.7030 Pt
```

No. 12
VASP calculation (PBE) on an optimized crystal structure of Bi4Pt.

Summary:
Crystal system = orthorhombic
VASP energy = -4.548 eV per atom
Space group = Ccce (68)

POSCAR file:
```
Bi4Pt
1.0
3.3685 -6.2782 0.0000
3.3685 6.2782 0.0000
0.0000 0.0000 6.7592
Bi Pt
8 2
Direct
0.2037 0.4542 0.1744 Bi
0.7963 0.5458 0.1744 Bi
0.2963 0.0458 0.3256 Bi
0.7037 0.9542 0.3256 Bi
0.0458 0.2963 0.6744 Bi
0.9542 0.7037 0.6744 Bi
0.4542 0.2037 0.8256 Bi
0.5458 0.7963 0.8256 Bi
0.0000 0.0000 0.0000 Pt
0.5000 0.5000 0.5000 Pt
```

No. 13
VASP calculation (PBE) on an optimized crystal structure of Bi3Pt.

Summary:
Crystal system = orthorhombic
VASP energy = -4.668 eV per atom
Space group = Cmcm (63)

POSCAR file:
```
Bi3Pt
1.0
1.9512 -6.3528 0.0000
-3.9025 0.0000 0.0000
0.0000 0.0000 -8.7243
Bi Pt
6 2
Direct
0.2864 0.1432 0.0576 Bi
0.8592 0.4296 0.2500 Bi
0.2864 0.1432 0.4424 Bi
0.7136 0.8568 0.5576 Bi
0.1408 0.5704 0.7500 Bi
0.7136 0.8568 0.9424 Bi
0.5184 0.7592 0.2500 Pt
0.4816 0.2408 0.7500 Pt
```

No. 14
VASP calculation (PBE) on an optimized crystal structure of BiPt15.

Summary:
E above lowest polymorph = 0.000 eV/atom
Crystal system = orthorhombic
VASP energy = -5.921 eV per atom
Space group = Pmma (51)

POSCAR file:
```
BiPt15
1.0
3.9629 0.0000 0.0000
0.0000 3.9630 0.0000
0.0000 0.0000 45.3379
Bi Pt
2 30
Direct
0.2500 0.0000 0.1584 Bi
0.7500 0.0000 0.8416 Bi
0.7500 0.5000 0.1714 Pt
0.7500 0.0000 0.2143 Pt
0.2500 0.5000 0.2143 Pt
0.7500 0.5000 0.2582 Pt
0.2500 0.0000 0.2585 Pt
0.2500 0.5000 0.3023 Pt
0.7500 0.0000 0.3023 Pt
0.2500 0.0000 0.3460 Pt
0.7500 0.5000 0.3461 Pt
0.7500 0.0000 0.3897 Pt
0.2500 0.5000 0.3898 Pt
0.7500 0.5000 0.4337 Pt
0.2500 0.0000 0.4338 Pt
0.2500 0.5000 0.4779 Pt
0.7500 0.0000 0.4780 Pt
0.2500 0.0000 0.5220 Pt
0.7500 0.5000 0.5221 Pt
0.7500 0.0000 0.5662 Pt
0.2500 0.5000 0.5663 Pt
0.7500 0.5000 0.6102 Pt
0.2500 0.0000 0.6103 Pt
0.2500 0.5000 0.6539 Pt
0.7500 0.0000 0.6540 Pt
0.2500 0.0000 0.6977 Pt
0.7500 0.5000 0.6977 Pt
0.7500 0.0000 0.7415 Pt
0.2500 0.5000 0.7418 Pt
0.7500 0.5000 0.7857 Pt
0.2500 0.0000 0.7857 Pt
0.2500 0.5000 0.8286 Pt
```

No. 15
VASP calculation (PBE) on an optimized crystal structure of BiPt10.

Summary:
E above lowest polymorph = 0.000 eV/atom
Crystal system = monoclinic
VASP energy = -5.892 eV per atom
Space group = C2/m (12)

POSCAR file:
```
BiPt10
1.0
-1.7757 0.4399 -4.4543
0.3399 -2.8581 -3.8605
-28.0465 -16.2571 9.6303
Bi Pt
2 20
Direct
0.8456 0.8456 0.2160 Bi
0.1544 0.1544 0.7840 Bi
0.1500 0.1500 0.2474 Pt
0.4538 0.4538 0.2726 Pt
0.7510 0.7510 0.3014 Pt
0.0510 0.0510 0.3278 Pt
0.3525 0.3525 0.3542 Pt
0.6519 0.6519 0.3812 Pt
0.9507 0.9507 0.4073 Pt
0.2498 0.2498 0.4340 Pt
0.5498 0.5498 0.4604 Pt
0.8500 0.8500 0.4866 Pt
0.1500 0.1500 0.5134 Pt
0.4502 0.4502 0.5396 Pt
0.7502 0.7502 0.5660 Pt
0.0493 0.0493 0.5927 Pt
0.3481 0.3481 0.6188 Pt
0.6475 0.6475 0.6458 Pt
0.9490 0.9490 0.6722 Pt
0.2490 0.2490 0.6986 Pt
0.5462 0.5462 0.7274 Pt
0.8500 0.8500 0.7526 Pt
```

No. 16
VASP calculation (PBE) on an optimized crystal structure of BiPt2.

Summary:
Crystal system = cubic
VASP energy = -5.180 eV per atom
Space group = Fm-3m (225)

POSCAR file:
```
BiPt2
1.0
1.0200 -4.3680 0.5861
-0.0386 -1.7943 4.1524
-3.2339 -2.9416 1.1629
Bi Pt
1 2
Direct
0.0000 0.0000 0.0000 Bi
0.2500 0.2500 0.2500 Pt
0.7500 0.7500 0.7500 Pt
```

No. 17
VASP calculation (PBE) on an optimized crystal structure of BiPt2.

Summary:
Crystal system = tetragonal
VASP energy = -5.313 eV per atom
Space group = I4/mcm (140)

POSCAR file:
```
BiPt2
1.0
-2.9336 2.9336 3.5134
2.9336 -2.9336 3.5134
2.9336 2.9336 -3.5134
Bi Pt
2 4
Direct
0.2500 0.2500 0.0000 Bi
0.7500 0.7500 0.0000 Bi
0.8422 0.3422 0.1844 Pt
0.3422 0.1578 0.5000 Pt
0.6578 0.8422 0.5000 Pt
0.1578 0.6578 0.8156 Pt
```

No. 18
VASP calculation (PBE) on an optimized crystal structure of BiPt5.

Summary:
Crystal system = orthorhombic
VASP energy = -5.734 eV per atom
Space group = Pmmn (59)

POSCAR file:
```
BiPt5
1.0
-1.2685 2.2816 1.8302
-0.5053 -2.4281 2.6767
27.4072 6.4176 10.9951
Bi Pt
2 10
Direct
0.0000 0.0000 0.2429 Bi
0.5000 0.5000 0.7571 Bi
0.5000 0.5000 0.2934 Pt
0.0000 0.0000 0.3415 Pt
0.5000 0.5000 0.3868 Pt
0.0000 0.0000 0.4319 Pt
0.5000 0.5000 0.4776 Pt
0.0000 0.0000 0.5224 Pt
0.5000 0.5000 0.5681 Pt
0.0000 0.0000 0.6132 Pt
0.5000 0.5000 0.6585 Pt
0.0000 0.0000 0.7066 Pt
```

No. 19
VASP calculation (PBE) on an optimized crystal structure of BiPt15.

Summary:
E above lowest polymorph = 0.042 eV/atom
Crystal system = monoclinic
VASP energy = -5.878 eV per atom
Space group = P2_1/m (11)

POSCAR file:
```
BiPt15
1.0
5.5796 0.0000 0.0000
0.0000 2.8819 0.0000
-0.0014 0.0000 44.4508
Bi Pt
2 30
Direct
0.1251 0.7500 0.1600 Bi
0.8749 0.2500 0.8400 Bi
0.6251 0.7500 0.1708 Pt
0.3697 0.2500 0.2136 Pt
0.8801 0.2500 0.2136 Pt
0.1250 0.7500 0.2580 Pt
0.6250 0.7500 0.2582 Pt
0.3746 0.2500 0.3021 Pt
0.8754 0.2500 0.3021 Pt
0.1250 0.7500 0.3459 Pt
0.6250 0.7500 0.3461 Pt
0.8752 0.2500 0.3900 Pt
0.3748 0.2500 0.3900 Pt
0.1250 0.7500 0.4340 Pt
0.6250 0.7500 0.4340 Pt
0.3750 0.2500 0.4780 Pt
0.8750 0.2500 0.4780 Pt
0.1250 0.7500 0.5220 Pt
0.6250 0.7500 0.5220 Pt
0.3750 0.2500 0.5660 Pt
0.8750 0.2500 0.5660 Pt
0.6252 0.7500 0.6100 Pt
0.1248 0.7500 0.6100 Pt
0.3750 0.2500 0.6539 Pt
0.8750 0.2500 0.6541 Pt
0.1246 0.7500 0.6979 Pt
0.6254 0.7500 0.6979 Pt
0.3750 0.2500 0.7418 Pt
0.8750 0.2500 0.7420 Pt
0.1199 0.7500 0.7864 Pt
0.6303 0.7500 0.7864 Pt
0.3749 0.2500 0.8292 Pt
```